(1)
BaHgSbOs2: relaxed, PBE-GGA.

abc: 5.1953 5.4991 5.1953
angles: 90.00 90.00 90.00
With the nearest neighbours (Å) after each atom.
Positions (direct):
Sb  0.0000  0.5000  0.0000  2 Hg 2.75
Hg  0.0000  0.0000  0.0000  4 Os 2.60, 2 Sb 2.75
Os  0.5000  0.0000  0.0000  2 Hg 2.60
Os  0.0000  0.0000  0.5000  2 Hg 2.60
Ba  0.5000  0.5000  0.5000  4 Sb 3.67, 8 Os 3.78

Summary:
- M_tot: 4.24 μB per formula unit
- ΔE_f (raw): 1.652 eV per atom
- Mass density: 9.40 g/cm³

(2)
Sm4Zn5Cd: relaxed, PBE-GGA.

abc: 3.6139 3.6139 17.6876
angles: 90.00 90.00 90.00
With the nearest neighbours (Å) after each atom.
Positions (direct):
Sm  0.0000  0.0000  0.8082  8 Zn 3.14-3.17, 1 Cd 3.39
Sm  0.0000  0.0000  0.1918  8 Zn 3.14-3.17, 1 Cd 3.39
Sm  0.0000  0.0000  0.3962  8 Zn 3.12-3.15
Sm  0.0000  0.0000  0.6038  8 Zn 3.12-3.15
Zn  0.5000  0.5000  0.9140  4 Cd 2.97, 1 Zn 3.04, 4 Sm 3.17
Zn  0.5000  0.5000  0.2949  8 Sm 3.12-3.14
Zn  0.5000  0.5000  0.5000  8 Sm 3.15
Zn  0.5000  0.5000  0.7051  8 Sm 3.12-3.14
Zn  0.5000  0.5000  0.0860  4 Cd 2.97, 1 Zn 3.04, 4 Sm 3.17
Cd  0.0000  0.0000  0.0000  8 Zn 2.97

Summary:
- M_tot: 0.00 μB per formula unit
- Mass density: 7.48 g/cm³

(3)
YNp6Se8: relaxed, PBE-GGA.

abc: 8.1837 8.1837 8.1837
angles: 60.00 60.00 60.00
With the nearest neighbours (Å) after each atom.
Positions (direct):
Np  0.0000  0.5000  0.5000  6 Se 2.89
Np  0.5000  0.5000  0.0000  6 Se 2.89
Np  0.0000  0.0000  0.5000  6 Se 2.89
Np  0.0000  0.5000  0.0000  6 Se 2.89
Np  0.5000  0.0000  0.5000  6 Se 2.89
Np  0.5000  0.0000  0.0000  6 Se 2.89
Se  0.2518  0.2518  0.7482  4 Np 2.89, 1 Y 2.91
Se  0.7482  0.7482  0.2518  4 Np 2.89, 1 Y 2.91
Se  0.7500  0.7500  0.7500  6 Np 2.89
Se  0.2500  0.2500  0.2500  6 Np 2.89
Se  0.2518  0.7482  0.7482  4 Np 2.89, 1 Y 2.91
Se  0.7482  0.2518  0.7482  4 Np 2.89, 1 Y 2.91
Se  0.7482  0.2518  0.2518  4 Np 2.89, 1 Y 2.91
Se  0.2518  0.7482  0.2518  4 Np 2.89, 1 Y 2.91
Y  0.0000  0.0000  0.0000  6 Se 2.91

Summary:
- M_tot: 26.17 μB per formula unit
- ΔE_f (raw): -1.221 eV per atom
- Mass density: 9.18 g/cm³

VASP energy / Ha/atom: -0.15100, -0.10558, -0.31922